# 1
# PBE PuMnCl, relaxed
data_PuMnCl
_cell_length_a 3.4917
_cell_length_b 17.9609
_cell_length_c 4.1822
_cell_angle_alpha 90.00
_cell_angle_beta 90.00
_cell_angle_gamma 90.00
_space_group_name_H-M_alt 'C m c m'
_space_group_IT_number 63
_space_group_name_Hall '-C 2c 2'
loop_
_atom_site_label
_atom_site_fract_x
_atom_site_fract_y
_atom_site_fract_z
Pu1 0.0000 0.0967 0.2500
Mn1 0.0000 0.4615 0.2500
Cl1 0.0000 0.3235 0.2500
# Formation energy from raw total energies: -0.591 eV per atom

=====

# 2
# PBE PuU2Ru, relaxed
data_PuU2Ru
_cell_length_a 4.9283
_cell_length_b 4.9283
_cell_length_c 10.6561
_cell_angle_alpha 90.00
_cell_angle_beta 90.00
_cell_angle_gamma 120.00
_space_group_name_H-M_alt 'R -3 m'
_space_group_IT_number 166
_space_group_name_Hall '-R 3 2"'
loop_
_atom_site_label
_atom_site_fract_x
_atom_site_fract_y
_atom_site_fract_z
Pu1 0.0000 0.0000 0.0000
U1 0.0000 0.0000 0.2369
Ru1 0.0000 0.0000 0.5000
# Electronic total energy: -139.48 eV per cell

=====

# 3
# PBE SrCrS2, relaxed
data_SrCrS2
_cell_length_a 5.7658
_cell_length_b 5.7658
_cell_length_c 11.6482
_cell_angle_alpha 90.00
_cell_angle_beta 90.00
_cell_angle_gamma 90.00
_space_group_name_H-M_alt 'I -4 2 d'
_space_group_IT_number 122
_space_group_name_Hall 'I -4 2bw'
loop_
_atom_site_label
_atom_site_fract_x
_atom_site_fract_y
_atom_site_fract_z
Sr1 0.0000 0.0000 0.0000
Cr1 0.0000 0.0000 0.5000
S1 0.1435 0.2500 0.6250
# Formation energy from raw total energies: -0.855 eV per atom

=====

no.,magnetization (μB per formula unit),DOS(E_F) (states/eV/f.u.)
1,2.663,6.5
2,1.925,6.9
3,0.000,2.2